[1]
# Rb2HfAs

Crystalline Rb2HfAs at its relaxed geometry (GGA-PBEsol, Alexandria via LeMat-Bulk).

abc: 12.8268 12.8268 5.0824
angles: 90.00 90.00 90.00
With the nearest neighbours (Å) after each atom.
Fractional coordinates of all 16 atoms:
Rb (0.0888, 0.2500, 0.1250)  2 As 3.46
Rb (0.2500, 0.5888, 0.3750)  2 As 3.46
Rb (0.2500, 0.9112, 0.8750)  2 As 3.46
Rb (0.4112, 0.2500, 0.6250)  2 As 3.46
Rb (0.5888, 0.7500, 0.6250)  2 As 3.46
Rb (0.7500, 0.0888, 0.8750)  2 As 3.46
Rb (0.7500, 0.4112, 0.3750)  2 As 3.46
Rb (0.9112, 0.7500, 0.1250)  2 As 3.46
Hf (0.0000, 0.0000, 0.5000)  2 As 2.54
Hf (0.0000, 0.5000, 0.7500)  2 As 2.54
Hf (0.5000, 0.0000, 0.2500)  2 As 2.54
Hf (0.5000, 0.5000, 0.0000)  2 As 2.54
As (0.0000, 0.0000, 0.0000)  2 Hf 2.54
As (0.0000, 0.5000, 0.2500)  2 Hf 2.54
As (0.5000, 0.0000, 0.7500)  2 Hf 2.54
As (0.5000, 0.5000, 0.5000)  2 Hf 2.54

Properties
space group: I-42d, No. 122
magnetization: 0.9 μB/f.u.
ΔE_f: 1.38 eV per formula unit
DOS(E_F): 1.02 states/eV/atom

---

[2]
# K2SIO7

Crystalline K2SIO7 at its relaxed geometry (GGA-PBEsol, Alexandria via LeMat-Bulk).

abc: 7.2790 7.0866 15.1003
angles: 90.00 110.92 90.00
With the nearest neighbours (Å) after each atom.
Fractional coordinates of all 44 atoms:
K (0.0510, 0.1600, 0.1776)  7 O 2.63-2.89
K (0.0510, 0.3400, 0.6776)  7 O 2.63-2.89
K (0.4055, 0.6019, 0.5820)  6 O 2.68-2.90
K (0.4055, 0.8981, 0.0820)  6 O 2.68-2.90
K (0.5945, 0.1019, 0.9180)  6 O 2.68-2.90
K (0.5945, 0.3981, 0.4180)  6 O 2.68-2.90
K (0.9490, 0.6600, 0.3224)  7 O 2.63-2.89
K (0.9490, 0.8400, 0.8224)  7 O 2.63-2.89
S (0.4379, 0.6235, 0.8532)  4 O 1.46-1.52
S (0.4379, 0.8765, 0.3532)  4 O 1.46-1.52
S (0.5621, 0.1235, 0.6468)  4 O 1.46-1.52
S (0.5621, 0.3765, 0.1468)  4 O 1.46-1.52
I (0.1295, 0.1193, 0.4472)  3 O 1.80-1.90
I (0.1295, 0.3807, 0.9472)  3 O 1.80-1.90
I (0.8705, 0.6193, 0.0528)  3 O 1.80-1.90
I (0.8705, 0.8807, 0.5528)  3 O 1.80-1.90
O (0.0175, 0.5470, 0.1709)  1 I 1.80
O (0.0175, 0.9530, 0.6709)  1 I 1.80
O (0.0718, 0.6658, 0.0027)  1 I 1.90
O (0.0718, 0.8342, 0.5027)  1 I 1.90
O (0.1724, 0.1320, 0.9318)  1 I 1.82
O (0.1724, 0.3680, 0.4318)  1 I 1.82
O (0.3449, 0.1612, 0.6180)  1 S 1.51
O (0.3449, 0.3388, 0.1180)  1 S 1.51
O (0.3469, 0.7260, 0.3907)  1 S 1.47
O (0.3469, 0.7740, 0.8907)  1 S 1.47
O (0.3535, 0.6059, 0.7498)  1 S 1.46
O (0.3535, 0.8941, 0.2498)  1 S 1.46
O (0.4152, 0.0621, 0.3980)  1 S 1.52
O (0.4152, 0.4379, 0.8980)  1 S 1.52
O (0.5848, 0.5621, 0.1020)  1 S 1.52
O (0.5848, 0.9379, 0.6020)  1 S 1.52
O (0.6465, 0.1059, 0.7502)  1 S 1.46
O (0.6465, 0.3941, 0.2502)  1 S 1.46
O (0.6531, 0.2260, 0.1093)  1 S 1.47
O (0.6531, 0.2740, 0.6093)  1 S 1.47
O (0.6551, 0.6612, 0.8820)  1 S 1.51
O (0.6551, 0.8388, 0.3820)  1 S 1.51
O (0.8276, 0.6320, 0.5682)  1 I 1.82
O (0.8276, 0.8680, 0.0682)  1 I 1.82
O (0.9282, 0.1658, 0.4973)  1 I 1.90
O (0.9282, 0.3342, 0.9973)  1 I 1.90
O (0.9825, 0.0470, 0.3291)  1 I 1.80
O (0.9825, 0.4530, 0.8291)  1 I 1.80

Properties
formation energy without anion corrections: -13.64 eV/f.u.
space group: P2_1/c, No. 14
magnetization: 0.0 μB/f.u.
DOS(E_F): 0.27 states/eV/atom

---

[3]
# KAlSb3

Crystalline KAlSb3 at its relaxed geometry (GGA-PBEsol, Alexandria via LeMat-Bulk).

abc: 5.6638 5.6638 5.6638
angles: 90.00 90.00 90.00
With the nearest neighbours (Å) after each atom.
Fractional coordinates of all 5 atoms:
K (0.0000, 0.0000, 0.0000)  6 Sb 2.83
Al (0.5000, 0.5000, 0.5000)  12 Sb 4.00
Sb (0.0000, 0.0000, 0.5000)  2 K 2.83
Sb (0.0000, 0.5000, 0.0000)  2 K 2.83
Sb (0.5000, 0.0000, 0.0000)  2 K 2.83

Properties
formation energy without anion corrections: 6.80 eV/f.u.
space group: Pm-3m, No. 221
magnetization: 0.0 μB/f.u.
DOS(E_F): 1.09 states/eV/atom

---

[4]
# AsAuSe2N

Crystalline AsAuSe2N at its relaxed geometry (GGA-PBEsol, Alexandria via LeMat-Bulk).

abc: 5.1130 5.1130 4.8811
angles: 90.00 90.00 90.00
With the nearest neighbours (Å) after each atom.
Fractional coordinates of all 5 atoms:
As (0.0000, 0.0000, 0.0000)  2 Au 2.44
Au (0.0000, 0.0000, 0.5000)  2 As 2.44, 4 Se 2.56
Se (0.0000, 0.5000, 0.5000)  2 Au 2.56
Se (0.5000, 0.0000, 0.5000)  2 Au 2.56
N (0.5000, 0.5000, 0.0000)  8 Se 3.53, 4 As 3.62

Properties
formation energy without anion corrections: 8.73 eV/f.u.
space group: P4/mmm, No. 123
magnetization: 3.0 μB/f.u.
DOS(E_F): 0.86 states/eV/atom

---

[5]
# AlGaPtCl2

Crystalline AlGaPtCl2 at its relaxed geometry (GGA-PBEsol, Alexandria via LeMat-Bulk).

abc: 4.2988 4.2988 6.0132
angles: 90.00 90.00 90.00
With the nearest neighbours (Å) after each atom.
Fractional coordinates of all 5 atoms:
Al (0.0000, 0.0000, 0.0000)  4 Cl 2.15
Ga (0.0000, 0.0000, 0.5000)  2 Al 3.01, 4 Pt 3.04
Pt (0.5000, 0.5000, 0.5000)  4 Ga 3.04
Cl (0.0000, 0.5000, 0.0000)  2 Al 2.15
Cl (0.5000, 0.0000, 0.0000)  2 Al 2.15

Properties
formation energy without anion corrections: 1.34 eV/f.u.
space group: P4/mmm, No. 123
magnetization: 0.1 μB/f.u.
DOS(E_F): 1.00 states/eV/atom

---

[6]
# ZnTeAs2

Crystalline ZnTeAs2 at its relaxed geometry (GGA-PBEsol, Alexandria via LeMat-Bulk).

abc: 4.8058 4.8058 3.4754
angles: 90.00 90.00 90.00
With the nearest neighbours (Å) after each atom.
Fractional coordinates of all 4 atoms:
Zn (0.0000, 0.0000, 0.0000)  8 As 2.97
Te (0.5000, 0.5000, 0.0000)  8 As 2.97
As (0.0000, 0.5000, 0.5000)  4 Te 2.97, 4 Zn 2.97
As (0.5000, 0.0000, 0.5000)  4 Te 2.97, 4 Zn 2.97

Properties
formation energy without anion corrections: 1.47 eV/f.u.
space group: P4/mmm, No. 123
magnetization: 0.0 μB/f.u.
offset from the most stable computed form: 256 meV/atom
DOS(E_F): 0.63 states/eV/atom

---

[7]
# HgAs2IrSe

Crystalline HgAs2IrSe at its relaxed geometry (GGA-PBEsol, Alexandria via LeMat-Bulk).

abc: 4.6474 4.6474 5.3773
angles: 90.00 90.00 90.00
With the nearest neighbours (Å) after each atom.
Fractional coordinates of all 5 atoms:
Hg (0.0000, 0.0000, 0.0000)  4 Se 3.29, 8 As 3.55
As (0.0000, 0.5000, 0.5000)  2 Ir 2.32
As (0.5000, 0.0000, 0.5000)  2 Ir 2.32
Ir (0.5000, 0.5000, 0.5000)  4 As 2.32
Se (0.5000, 0.5000, 0.0000)  2 Ir 2.69

Properties
formation energy without anion corrections: 2.56 eV/f.u.
space group: P4/mmm, No. 123
magnetization: 0.0 μB/f.u.
DOS(E_F): 0.64 states/eV/atom

---

[8]
# BiW3Cl

Crystalline BiW3Cl at its relaxed geometry (GGA-PBEsol, Alexandria via LeMat-Bulk).

abc: 4.4909 4.4909 4.4909
angles: 90.00 90.00 90.00
With the nearest neighbours (Å) after each atom.
Fractional coordinates of all 5 atoms:
Bi (0.0000, 0.0000, 0.0000)  12 W 3.18
W (0.0000, 0.5000, 0.5000)  2 Cl 2.25
W (0.5000, 0.0000, 0.5000)  2 Cl 2.25
W (0.5000, 0.5000, 0.0000)  2 Cl 2.25
Cl (0.5000, 0.5000, 0.5000)  6 W 2.25

Properties
formation energy without anion corrections: 8.31 eV/f.u.
space group: Pm-3m, No. 221
magnetization: 0.0 μB/f.u.
DOS(E_F): 1.20 states/eV/atom

---

[9]
# HfTi2Ge2

Crystalline HfTi2Ge2 at its relaxed geometry (GGA-PBEsol, Alexandria via LeMat-Bulk).

abc: 6.9509 6.9509 3.4051
angles: 90.00 90.00 90.00
With the nearest neighbours (Å) after each atom.
Fractional coordinates of all 10 atoms:
Hf (0.0000, 0.0000, 0.0000)  4 Ge 2.73
Hf (0.5000, 0.5000, 0.0000)  4 Ge 2.73
Ti (0.1692, 0.3308, 0.5000)  6 Ge 2.61-2.70
Ti (0.3308, 0.8308, 0.5000)  6 Ge 2.61-2.70
Ti (0.6692, 0.1692, 0.5000)  6 Ge 2.61-2.70
Ti (0.8308, 0.6692, 0.5000)  6 Ge 2.61-2.70
Ge (0.1302, 0.6302, 0.0000)  1 Ge 2.56, 6 Ti 2.61-2.70, 2 Hf 2.73
Ge (0.3698, 0.1302, 0.0000)  1 Ge 2.56, 6 Ti 2.61-2.70, 2 Hf 2.73
Ge (0.6302, 0.8698, 0.0000)  1 Ge 2.56, 6 Ti 2.61-2.70, 2 Hf 2.73
Ge (0.8698, 0.3698, 0.0000)  1 Ge 2.56, 6 Ti 2.61-2.70, 2 Hf 2.73

Properties
space group: P4/mbm, No. 127
magnetization: 0.0 μB/f.u.
ΔE_f: -3.57 eV per formula unit
DOS(E_F): 0.85 states/eV/atom

---

[10]
# NaMnSi2O6

Crystalline NaMnSi2O6 at its relaxed geometry (GGA-PBEsol, Alexandria via LeMat-Bulk).

abc: 6.4252 6.4252 5.3793
angles: 101.08 101.08 84.19
With the nearest neighbours (Å) after each atom.
Fractional coordinates of all 20 atoms:
Na (0.2029, 0.7971, 0.7500)  6 O 2.32-2.49
Na (0.7971, 0.2029, 0.2500)  6 O 2.32-2.49
Mn (0.4063, 0.5937, 0.2500)  4 O 1.89-1.97
Mn (0.5937, 0.4063, 0.7500)  4 O 1.89-1.97
Si (0.1176, 0.2951, 0.7555)  4 O 1.62-1.66
Si (0.2951, 0.1176, 0.2555)  4 O 1.62-1.66
Si (0.7049, 0.8824, 0.7445)  4 O 1.62-1.66
Si (0.8824, 0.7049, 0.2445)  4 O 1.62-1.66
O (0.1223, 0.5994, 0.2998)  1 Si 1.62
O (0.1360, 0.1498, 0.9814)  2 Si 1.65-1.66
O (0.1498, 0.1360, 0.4814)  2 Si 1.65-1.66
O (0.3074, 0.4593, 0.8381)  1 Si 1.63
O (0.4006, 0.8777, 0.2002)  1 Si 1.62
O (0.4593, 0.3074, 0.3381)  1 Si 1.63
O (0.5407, 0.6926, 0.6619)  1 Si 1.63
O (0.5994, 0.1223, 0.7998)  1 Si 1.62
O (0.6926, 0.5407, 0.1619)  1 Si 1.63
O (0.8502, 0.8640, 0.5186)  2 Si 1.65-1.66
O (0.8640, 0.8502, 0.0186)  2 Si 1.65-1.66
O (0.8777, 0.4006, 0.7002)  1 Si 1.62

Properties
formation energy without anion corrections: -23.78 eV/f.u.
space group: C2/c, No. 15
magnetization: 4.0 μB/f.u.
DOS(E_F): 0.01 states/eV/atom

---

[11]
# Zr2OsPb

Crystalline Zr2OsPb at its relaxed geometry (GGA-PBEsol, Alexandria via LeMat-Bulk).

abc: 3.1457 3.1457 8.2080
angles: 90.00 90.00 90.00
With the nearest neighbours (Å) after each atom.
Fractional coordinates of all 4 atoms:
Zr (0.0000, 0.0000, 0.2049)  4 Os 2.79
Zr (0.0000, 0.0000, 0.7951)  4 Os 2.79
Os (0.5000, 0.5000, 0.0000)  8 Zr 2.79
Pb (0.5000, 0.5000, 0.5000)  4 Pb 3.15, 8 Zr 3.29

Properties
space group: P4/mmm, No. 123
magnetization: 0.0 μB/f.u.
ΔE_f: -1.32 eV per formula unit
DOS(E_F): 0.65 states/eV/atom

---

[12]
# Cs2MnRh

Crystalline Cs2MnRh at its relaxed geometry (GGA-PBEsol, Alexandria via LeMat-Bulk).

abc: 7.8651 7.8651 7.8651
angles: 90.00 90.00 90.00
With the nearest neighbours (Å) after each atom.
Fractional coordinates of all 16 atoms:
Cs (0.2500, 0.2500, 0.2500)  4 Mn 3.41, 4 Rh 3.41
Cs (0.2500, 0.2500, 0.7500)  4 Mn 3.41, 4 Rh 3.41
Cs (0.2500, 0.7500, 0.2500)  4 Mn 3.41, 4 Rh 3.41
Cs (0.2500, 0.7500, 0.7500)  4 Mn 3.41, 4 Rh 3.41
Cs (0.7500, 0.2500, 0.2500)  4 Mn 3.41, 4 Rh 3.41
Cs (0.7500, 0.2500, 0.7500)  4 Mn 3.41, 4 Rh 3.41
Cs (0.7500, 0.7500, 0.2500)  4 Mn 3.41, 4 Rh 3.41
Cs (0.7500, 0.7500, 0.7500)  4 Mn 3.41, 4 Rh 3.41
Mn (0.0000, 0.0000, 0.0000)  8 Cs 3.41
Mn (0.0000, 0.5000, 0.5000)  8 Cs 3.41
Mn (0.5000, 0.0000, 0.5000)  8 Cs 3.41
Mn (0.5000, 0.5000, 0.0000)  8 Cs 3.41
Rh (0.0000, 0.0000, 0.5000)  8 Cs 3.41
Rh (0.0000, 0.5000, 0.0000)  8 Cs 3.41
Rh (0.5000, 0.0000, 0.0000)  8 Cs 3.41
Rh (0.5000, 0.5000, 0.5000)  8 Cs 3.41

Properties
space group: Fm-3m, No. 225
magnetization: 5.2 μB/f.u.
ΔE_f: 5.76 eV per formula unit
DOS(E_F): 1.25 states/eV/atom